No. 1
Entry from Alexandria: IrPb2Se after structural relaxation (PBE).

a = 5.053 Å, b = 5.053 Å, c = 5.053 Å
α = 60.00°, β = 60.00°, γ = 60.00°
Fractional coordinates of all 4 atoms:
Ir 0.000 0.000 0.000
Pb 0.250 0.250 0.250
Pb 0.500 0.500 0.500
Se 0.750 0.750 0.750

Computed properties:
* SG: No. 216
* E_tot: -4.442 eV/atom

***

No. 2
Entry from Alexandria: TiCoCuRh after structural relaxation (PBE).

a = 3.531 Å, b = 3.814 Å, c = 3.847 Å
α = 90.00°, β = 90.00°, γ = 90.00°
Fractional coordinates of all 4 atoms:
Ti 0.000 0.000 0.000
Co 0.500 0.000 0.500
Cu 0.000 0.500 0.500
Rh 0.500 0.500 0.000

Computed properties:
* SG: No. 47
* E_tot: -6.989 eV/atom
* energy of formation from the pure elements: -0.38 eV/atom
* excess energy over the best structure of this formula in the dataset: 0.000 eV per atom

***

No. 3
Entry from Alexandria: Tl14Hg2Se9 after structural relaxation (PBE).

a = 9.375 Å, b = 9.375 Å, c = 11.188 Å
α = 90.00°, β = 90.00°, γ = 120.00°
Fractional coordinates of all 25 atoms:
Tl 0.000 0.000 0.210
Tl 0.000 0.000 0.790
Tl 0.005 0.667 0.404
Tl 0.088 0.422 0.133
Tl 0.333 0.338 0.404
Tl 0.334 0.912 0.133
Tl 0.338 0.005 0.596
Tl 0.422 0.334 0.867
Tl 0.578 0.666 0.133
Tl 0.662 0.995 0.404
Tl 0.666 0.088 0.867
Tl 0.667 0.662 0.596
Tl 0.912 0.578 0.867
Tl 0.995 0.333 0.596
Hg 0.333 0.667 0.777
Hg 0.667 0.333 0.223
Se 0.000 0.000 0.500
Se 0.104 0.366 0.868
Se 0.261 0.896 0.868
Se 0.333 0.667 0.534
Se 0.366 0.261 0.132
Se 0.634 0.739 0.868
Se 0.667 0.333 0.466
Se 0.739 0.104 0.132
Se 0.896 0.634 0.132

Computed properties:
* SG: No. 147
* E_tot: -2.916 eV/atom

***

No. 4
Entry from Alexandria: FeMoRh2 after structural relaxation (PBE).

a = 4.688 Å, b = 4.688 Å, c = 4.676 Å
α = 99.64°, β = 99.64°, γ = 33.65°
Fractional coordinates of all 4 atoms:
Fe 0.000 0.000 0.000
Mo 0.500 0.500 0.500
Rh 0.253 0.253 0.755
Rh 0.747 0.747 0.245

Computed properties:
* SG: No. 12
* E_tot: -8.534 eV/atom
* energy of formation from the pure elements: -0.03 eV/atom
* excess energy over the best structure of this formula in the dataset: 0.109 eV per atom

***

No. 5
Entry from Alexandria: Rb3InBr6 after structural relaxation (PBE).

a = 9.545 Å, b = 9.545 Å, c = 9.545 Å
α = 90.98°, β = 90.98°, γ = 90.98°
Fractional coordinates of all 20 atoms:
Rb 0.070 0.748 0.575
Rb 0.252 0.425 0.930
Rb 0.425 0.930 0.252
Rb 0.575 0.070 0.748
Rb 0.748 0.575 0.070
Rb 0.930 0.252 0.425
In 0.000 0.000 0.000
In 0.500 0.500 0.500
Br 0.048 0.725 0.936
Br 0.064 0.952 0.275
Br 0.231 0.421 0.561
Br 0.275 0.064 0.952
Br 0.421 0.561 0.231
Br 0.439 0.769 0.579
Br 0.561 0.231 0.421
Br 0.579 0.439 0.769
Br 0.725 0.936 0.048
Br 0.769 0.579 0.439
Br 0.936 0.048 0.725
Br 0.952 0.275 0.064

Computed properties:
* SG: No. 148
* E_tot: -2.963 eV/atom

***

No. 6
Entry from Alexandria: Sr2Be2I after structural relaxation (PBE).

a = 8.945 Å, b = 8.945 Å, c = 4.122 Å
α = 90.00°, β = 90.00°, γ = 90.00°
Fractional coordinates of all 10 atoms:
Sr 0.183 0.317 0.000
Sr 0.317 0.817 0.000
Sr 0.683 0.183 0.000
Sr 0.817 0.683 0.000
Be 0.080 0.580 0.500
Be 0.420 0.080 0.500
Be 0.580 0.920 0.500
Be 0.920 0.420 0.500
I 0.000 0.000 0.000
I 0.500 0.500 0.000

Computed properties:
* SG: No. 127
* E_tot: -2.379 eV/atom
* excess energy over the best structure of this formula in the dataset: 0.000 eV per atom

***

No. 7
Entry from Alexandria: Ti2In2Pd after structural relaxation (PBE).

a = 6.939 Å, b = 6.939 Å, c = 4.050 Å
α = 90.00°, β = 90.00°, γ = 90.00°
Fractional coordinates of all 10 atoms:
Ti 0.158 0.342 0.000
Ti 0.342 0.842 0.000
Ti 0.658 0.158 0.000
Ti 0.842 0.658 0.000
In 0.145 0.645 0.500
In 0.355 0.145 0.500
In 0.645 0.855 0.500
In 0.855 0.355 0.500
Pd 0.000 0.000 0.500
Pd 0.500 0.500 0.500

Computed properties:
* SG: No. 127
* E_tot: -5.367 eV/atom
* energy of formation from the pure elements: -0.08 eV/atom
* excess energy over the best structure of this formula in the dataset: 0.116 eV per atom

***

No. 8
Entry from Alexandria: Ti3PdRu after structural relaxation (PBE).

a = 4.647 Å, b = 4.647 Å, c = 4.647 Å
α = 90.00°, β = 90.00°, γ = 90.00°
Fractional coordinates of all 5 atoms:
Ti 0.000 0.000 0.500
Ti 0.000 0.500 0.000
Ti 0.500 0.000 0.000
Pd 0.500 0.500 0.500
Ru 0.000 0.000 0.000

Computed properties:
* SG: No. 221
* E_tot: -7.260 eV/atom
* energy of formation from the pure elements: 0.37 eV/atom
* excess energy over the best structure of this formula in the dataset: 0.000 eV per atom